(w)
The following is a GGA-PBE calculation of crystalline La2YW at its relaxed geometry, from Alexandria via LeMat-Bulk.

crystal system = monoclinic
space group = C2/m

Lattice parameters (Å, degrees): 5.849 6.513 3.247 76.07 88.91 116.38
Fractional coordinates of all 4 atoms:
La  0.000  0.000  0.000
La  0.500  0.000  0.500
Y  0.500  0.500  0.000
W  0.000  0.500  0.500



(x)
The following is a GGA-PBE calculation of crystalline La2YW at its relaxed geometry, from Alexandria via LeMat-Bulk.

crystal system = monoclinic
space group = Pm

Lattice parameters (Å, degrees): 4.912 3.397 6.915 73.75 90.00 90.00
Fractional coordinates of all 4 atoms:
La  0.000  0.026  0.990
Y  0.500  0.710  0.711
La  0.500  0.391  0.278
W  0.000  0.374  0.521



The data favor (x); the next most stable structure lies 0.157 eV/atom above it.



(w)
The following is a GGA-PBE calculation of crystalline LaY2W at its relaxed geometry, from Alexandria via LeMat-Bulk.

crystal system = monoclinic
space group = P2/m

Lattice parameters (Å, degrees): 5.017 3.338 6.585 74.15 90.00 90.00
Fractional coordinates of all 4 atoms:
Y  0.000  0.579  0.528
Y  0.000  0.921  0.972
W  0.500  0.750  0.750
La  0.500  0.250  0.250



(x)
The following is a GGA-PBE calculation of crystalline LaY2W at its relaxed geometry, from Alexandria via LeMat-Bulk.

crystal system = orthorhombic
space group = Cmm2

Lattice parameters (Å, degrees): 3.313 3.313 10.782 90.00 90.00 109.18
Fractional coordinates of all 4 atoms:
Y  0.000  0.000  0.956
La  0.000  0.000  0.552
W  0.500  0.500  0.752
Y  0.500  0.500  0.239



(y)
The following is a GGA-PBE calculation of crystalline LaY2W at its relaxed geometry, from Alexandria via LeMat-Bulk.

crystal system = orthorhombic
space group = Cmmm

Lattice parameters (Å, degrees): 7.422 5.743 3.395 90.06 62.66 120.69
Fractional coordinates of all 4 atoms:
Y  0.500  0.000  0.500
La  0.000  0.500  0.500
W  0.500  0.500  0.000
Y  0.000  0.000  0.000



(z)
The following is a GGA-PBE calculation of crystalline LaY2W at its relaxed geometry, from Alexandria via LeMat-Bulk.

crystal system = trigonal
space group = R3m

Lattice parameters (Å, degrees): 10.552 10.552 10.552 19.30 19.30 19.30
Fractional coordinates of all 4 atoms:
La  0.485  0.485  0.485
Y  0.250  0.250  0.250
W  0.751  0.751  0.751
Y  0.014  0.014  0.014



The data favor (x); the next most stable structure lies 0.007 eV/atom above it.



(w)
The following is a GGA-PBE calculation of crystalline LaY2W at its relaxed geometry, from Alexandria via LeMat-Bulk.

crystal system = tetragonal
space group = I-42d

Lattice parameters (Å, degrees): 4.540 4.540 11.342 78.46 78.46 90.00
Fractional coordinates of all 8 atoms:
W  0.000  0.000  0.000
Y  0.649  0.625  0.250
Y  0.101  0.125  0.250
Y  0.375  0.899  0.750
La  0.500  0.500  0.000
Y  0.875  0.351  0.750
La  0.250  0.750  0.500
W  0.750  0.250  0.500



(x)
The following is a GGA-PBE calculation of crystalline LaY2W at its relaxed geometry, from Alexandria via LeMat-Bulk.

crystal system = orthorhombic
space group = Imm2

Lattice parameters (Å, degrees): 6.395 6.395 5.506 64.52 64.52 33.23
Fractional coordinates of all 4 atoms:
W  0.241  0.241  0.259
La  0.550  0.550  0.450
Y  0.752  0.752  0.748
Y  0.957  0.957  0.043



(y)
The following is a GGA-PBE calculation of crystalline LaY2W at its relaxed geometry, from Alexandria via LeMat-Bulk.

crystal system = cubic
space group = Fm-3m

Lattice parameters (Å, degrees): 5.288 5.288 5.288 60.00 60.00 60.00
Fractional coordinates of all 4 atoms:
Y  0.750  0.750  0.750
La  0.000  0.000  0.000
Y  0.250  0.250  0.250
W  0.500  0.500  0.500



The data favor (x); the next most stable structure lies 0.113 eV/atom above it.



(w)
The following is a GGA-PBE calculation of crystalline LaY2W at its relaxed geometry, from Alexandria via LeMat-Bulk.

crystal system = monoclinic
space group = C2/m

Lattice parameters (Å, degrees): 6.552 6.552 5.240 66.36 66.36 33.11
Fractional coordinates of all 4 atoms:
W  0.250  0.250  0.250
Y  0.545  0.545  0.455
Y  0.955  0.955  0.045
La  0.750  0.750  0.750



(x)
The following is a GGA-PBE calculation of crystalline LaY2W at its relaxed geometry, from Alexandria via LeMat-Bulk.

crystal system = tetragonal
space group = I4/mmm

Lattice parameters (Å, degrees): 5.612 5.612 5.612 128.63 128.63 75.61
Fractional coordinates of all 4 atoms:
W  0.750  0.250  0.500
Y  0.500  0.500  0.000
La  0.250  0.750  0.500
Y  0.000  0.000  0.000



The data favor (w); the next most stable structure lies 0.048 eV/atom above it.



(w)
The following is a GGA-PBE calculation of crystalline LaY2W at its relaxed geometry, from Alexandria via LeMat-Bulk.

crystal system = orthorhombic
space group = Pmm2

Lattice parameters (Å, degrees): 3.244 4.805 6.879 90.00 90.00 90.00
Fractional coordinates of all 4 atoms:
W  0.500  0.500  0.769
Y  0.000  0.000  0.970
Y  0.500  0.500  0.230
La  0.000  0.000  0.530



(x)
The following is a GGA-PBE calculation of crystalline LaY2W at its relaxed geometry, from Alexandria via LeMat-Bulk.

crystal system = orthorhombic
space group = Pmmm

Lattice parameters (Å, degrees): 4.672 4.689 4.862 90.00 90.00 90.00
Fractional coordinates of all 4 atoms:
W  0.000  0.500  0.500
Y  0.000  0.000  0.000
La  0.500  0.000  0.500
Y  0.500  0.500  0.000



(y)
The following is a GGA-PBE calculation of crystalline LaY2W at its relaxed geometry, from Alexandria via LeMat-Bulk.

crystal system = trigonal
space group = R-3m

Lattice parameters (Å, degrees): 11.156 11.156 11.156 17.65 17.65 17.65
Fractional coordinates of all 4 atoms:
Y  0.015  0.015  0.015
La  0.250  0.250  0.250
Y  0.485  0.485  0.485
W  0.750  0.750  0.750



The data favor (y); the next most stable structure lies 0.009 eV/atom above it.



(w)
The following is a GGA-PBE calculation of crystalline LaY2W at its relaxed geometry, from Alexandria via LeMat-Bulk.

crystal system = cubic
space group = F-43m

Lattice parameters (Å, degrees): 5.286 5.286 5.286 60.00 60.00 60.00
Fractional coordinates of all 4 atoms:
W  0.750  0.750  0.750
Y  0.250  0.250  0.250
La  0.500  0.500  0.500
Y  0.000  0.000  0.000



(x)
The following is a GGA-PBE calculation of crystalline LaY2W at its relaxed geometry, from Alexandria via LeMat-Bulk.

crystal system = tetragonal
space group = P4mm

Lattice parameters (Å, degrees): 3.852 3.852 7.584 90.00 90.00 90.00
Fractional coordinates of all 4 atoms:
Y  0.000  0.000  0.959
W  0.500  0.500  0.783
Y  0.500  0.500  0.212
La  0.000  0.000  0.545



The data favor (x); the next most stable structure lies 0.078 eV/atom above it.



(w)
The following is a GGA-PBE calculation of crystalline LaY2W at its relaxed geometry, from Alexandria via LeMat-Bulk.

crystal system = tetragonal
space group = P4/mmm

Lattice parameters (Å, degrees): 3.436 3.436 9.728 90.00 90.00 90.00
Fractional coordinates of all 4 atoms:
La  0.500  0.500  0.250
W  0.500  0.500  0.750
Y  0.000  0.000  0.936
Y  0.000  0.000  0.564



(x)
The following is a GGA-PBE calculation of crystalline LaY2W at its relaxed geometry, from Alexandria via LeMat-Bulk.

crystal system = monoclinic
space group = Pm

Lattice parameters (Å, degrees): 4.865 3.393 6.839 72.80 90.00 90.00
Fractional coordinates of all 4 atoms:
La  0.000  0.636  0.531
Y  0.000  0.950  0.968
W  0.500  0.636  0.765
Y  0.500  0.277  0.237



The data favor (w); the next most stable structure lies 0.096 eV/atom above it.



(w)
The following is a GGA-PBE calculation of crystalline LaZnW3 at its relaxed geometry, from Alexandria via LeMat-Bulk.

crystal system = cubic
space group = Pm-3m

Lattice parameters (Å, degrees): 4.749 4.749 4.749 90.00 90.00 90.00
Fractional coordinates of all 5 atoms:
W  0.500  0.000  0.000
Zn  0.000  0.000  0.000
W  0.000  0.500  0.000
La  0.500  0.500  0.500
W  0.000  0.000  0.500



(x)
The following is a GGA-PBE calculation of crystalline LaZnW3 at its relaxed geometry, from Alexandria via LeMat-Bulk.

crystal system = cubic
space group = Pm-3m

Lattice parameters (Å, degrees): 4.865 4.865 4.865 90.00 90.00 90.00
Fractional coordinates of all 5 atoms:
Zn  0.500  0.500  0.500
La  0.000  0.000  0.000
W  0.000  0.500  0.000
W  0.000  0.000  0.500
W  0.500  0.000  0.000



The data favor (w); the next most stable structure lies 1.311 eV/atom above it.



(w)
The following is a GGA-PBE calculation of crystalline LaY4 at its relaxed geometry, from Alexandria via LeMat-Bulk.

crystal system = trigonal
space group = R-3m

Lattice parameters (Å, degrees): 3.610 14.799 3.610 97.01 60.00 97.01
Fractional coordinates of all 5 atoms:
Y  0.599  0.796  0.599
La  0.000  0.000  0.000
Y  0.800  0.401  0.800
Y  0.401  0.204  0.401
Y  0.200  0.599  0.200



(x)
The following is a GGA-PBE calculation of crystalline LaY4 at its relaxed geometry, from Alexandria via LeMat-Bulk.

crystal system = cubic
space group = Pm-3m

Lattice parameters (Å, degrees): 5.631 5.631 5.631 90.00 90.00 90.00
Fractional coordinates of all 5 atoms:
Y  0.000  0.500  0.500
Y  0.000  0.000  0.000
Y  0.500  0.500  0.000
Y  0.500  0.000  0.500
La  0.500  0.500  0.500



(y)
The following is a GGA-PBE calculation of crystalline LaY4 at its relaxed geometry, from Alexandria via LeMat-Bulk.

crystal system = monoclinic
space group = C2/m

Lattice parameters (Å, degrees): 7.137 6.572 9.593 63.68 68.16 57.11
Fractional coordinates of all 10 atoms:
Y  0.149  0.799  0.402
Y  0.805  0.612  0.777
Y  0.195  0.388  0.223
Y  0.851  0.201  0.598
Y  0.694  0.389  0.223
La  0.247  0.000  0.000
La  0.753  0.000  0.000
Y  0.350  0.201  0.598
Y  0.650  0.799  0.402
Y  0.306  0.611  0.777



The data favor (w); the next most stable structure lies 0.013 eV/atom above it.



(w)
The following is a GGA-PBE calculation of crystalline LaY4 at its relaxed geometry, from Alexandria via LeMat-Bulk.

crystal system = tetragonal
space group = I4/m

Lattice parameters (Å, degrees): 5.118 6.253 6.253 99.64 114.16 65.84
Fractional coordinates of all 5 atoms:
La  0.000  0.000  0.000
Y  0.199  0.202  0.600
Y  0.599  0.600  0.798
Y  0.401  0.400  0.202
Y  0.801  0.798  0.400



(x)
The following is a GGA-PBE calculation of crystalline LaY4 at its relaxed geometry, from Alexandria via LeMat-Bulk.

crystal system = tetragonal
space group = I4/mmm

Lattice parameters (Å, degrees): 9.041 9.041 9.041 150.67 150.67 41.96
Fractional coordinates of all 5 atoms:
Y  0.250  0.750  0.500
Y  0.595  0.595  0.000
La  0.000  0.000  0.000
Y  0.750  0.250  0.500
Y  0.405  0.405  0.000



The data favor (w); the next most stable structure lies 0.328 eV/atom above it.



(w)
The following is a GGA-PBE calculation of crystalline LaY2 at its relaxed geometry, from Alexandria via LeMat-Bulk.

crystal system = monoclinic
space group = Cm

Lattice parameters (Å, degrees): 3.694 6.875 8.634 76.87 90.00 74.42
Fractional coordinates of all 6 atoms:
Y  0.946  0.108  0.387
La  0.999  0.002  0.998
Y  0.275  0.450  0.061
La  0.333  0.334  0.665
Y  0.667  0.666  0.335
Y  0.613  0.773  0.721



(x)
The following is a GGA-PBE calculation of crystalline LaY2 at its relaxed geometry, from Alexandria via LeMat-Bulk.

crystal system = monoclinic
space group = C2/c

Lattice parameters (Å, degrees): 3.605 3.671 18.029 86.98 95.74 121.83
Fractional coordinates of all 6 atoms:
La  0.543  0.750  0.085
La  0.457  0.250  0.915
Y  0.872  0.250  0.745
Y  0.128  0.750  0.255
Y  0.208  0.250  0.417
Y  0.792  0.750  0.583



(y)
The following is a GGA-PBE calculation of crystalline LaY2 at its relaxed geometry, from Alexandria via LeMat-Bulk.

crystal system = tetragonal
space group = I4/mcm

Lattice parameters (Å, degrees): 6.386 6.386 6.386 115.22 106.68 106.68
Fractional coordinates of all 6 atoms:
La  0.000  0.750  0.750
La  0.000  0.250  0.250
Y  0.190  0.845  0.345
Y  0.810  0.155  0.655
Y  0.500  0.345  0.155
Y  0.500  0.655  0.845



(z)
The following is a GGA-PBE calculation of crystalline LaY2 at its relaxed geometry, from Alexandria via LeMat-Bulk.

crystal system = hexagonal
space group = P6_3/mmc

Lattice parameters (Å, degrees): 6.579 6.579 11.562 90.00 90.00 60.00
Fractional coordinates of all 12 atoms:
Y  0.000  0.000  0.500
Y  0.833  0.833  0.750
La  0.667  0.667  0.466
Y  0.167  0.666  0.250
La  0.333  0.333  0.534
Y  0.000  0.000  0.000
Y  0.167  0.167  0.250
Y  0.833  0.334  0.750
La  0.667  0.667  0.034
Y  0.334  0.833  0.750
La  0.333  0.333  0.966
Y  0.666  0.167  0.250



The data favor (w); the next most stable structure lies 0.076 eV/atom above it.